Record 1
# Tc8Os

A crystal of Tc8Os relaxed with PBEsol (meta-GGA SCAN, Alexandria via LeMat-Bulk).

```
9
Lattice="3.8232 0.0000 0.0000 1.9116 5.7444 0.0000 1.9116 0.0000 5.7444" Properties=species:S:1:pos:R:3 pbc="T T T"
Tc 1.9116 1.9017 0.0000
Tc 3.8232 1.9056 1.9056
Os 0.0000 0.0000 0.0000
Tc 1.9116 0.0000 1.9017
Tc 3.8232 3.8388 3.8388
Tc 3.8232 0.0000 3.8427
Tc 1.9116 1.9056 3.8388
Tc 1.9116 3.8388 1.9056
Tc 3.8232 3.8427 0.0000
```

Calculated values
Density: 12.82 g cm⁻³
DFT total energy: -39.102 eV per atom
DFT formation energy: 50 meV per atom
M_tot: 0.0 Bohr magnetons per cell

Record 2
# Tc3Os

A crystal of Tc3Os relaxed with PBEsol (meta-GGA SCAN, Alexandria via LeMat-Bulk).

```
4
Lattice="-0.9767 2.3018 -2.8965 -3.4730 0.4620 1.5383 1.2751 3.0216 1.9713" Properties=species:S:1:pos:R:3 pbc="T T T"
Os 0.0000 0.0000 0.0000
Tc 0.1492 2.6617 -0.4626
Tc -2.2249 1.3819 -0.6791
Tc -1.0990 1.7418 1.7548
```

Calculated values
Density: 14.35 g cm⁻³
Relative energy among the computed polymorphs: 0.1083 eV per atom
DFT total energy: -44.238 eV per atom
DFT formation energy: 27 meV per atom
M_tot: 0.0 Bohr magnetons per cell

Record 3
# Tc3Os

A crystal of Tc3Os relaxed with PBEsol (meta-GGA SCAN, Alexandria via LeMat-Bulk).

```
4
Lattice="-0.4615 0.2242 2.6752 1.2771 -4.1041 0.5643 4.4359 1.4687 0.6421" Properties=species:S:1:pos:R:3 pbc="T T T"
Tc 1.9881 0.8467 1.6588
Tc 2.1211 -1.5612 0.4967
Tc 4.1037 -0.7163 2.1547
Os 4.4310 1.4671 0.6414
```

Calculated values
Density: 14.44 g cm⁻³
Relative energy among the computed polymorphs: 0.0057 eV per atom
DFT total energy: -44.341 eV per atom
DFT formation energy: -76 meV per atom
M_tot: 0.0 Bohr magnetons per cell

Record 4
# TcOs4

A crystal of TcOs4 relaxed with PBEsol (meta-GGA SCAN, Alexandria via LeMat-Bulk).

```
5
Lattice="4.8442 0.0000 0.0000 -1.6147 4.5672 0.0000 -1.6147 -2.2836 3.9553" Properties=species:S:1:pos:R:3 pbc="T T T"
Os 2.4221 0.0000 0.0000
Os -0.8074 -1.1418 1.9776
Os 0.8074 1.1418 1.9776
Os -0.8074 2.2836 0.0000
Tc 0.0000 0.0000 0.0000
```

Calculated values
Density: 16.30 g cm⁻³
DFT total energy: -62.752 eV per atom
DFT formation energy: 1763 meV per atom
M_tot: 0.0 Bohr magnetons per cell

Record 5
# Tc3Os

A crystal of Tc3Os relaxed with PBEsol (meta-GGA SCAN, Alexandria via LeMat-Bulk).

```
16
Lattice="-1.8235 0.1552 5.1362 4.1934 -3.2302 -1.3077 5.5206 6.4522 1.7650" Properties=species:S:1:pos:R:3 pbc="T T T"
Tc 3.9453 1.6886 2.7967
Tc 4.8570 1.6110 0.2286
Tc -0.9117 0.0776 2.5681
Tc 5.2394 3.7834 1.7458
Os 0.0000 0.0000 0.0000
Tc 1.1850 -1.5375 1.9142
Tc 7.3264 2.1757 1.0950
Tc 6.4189 2.2530 3.6511
Tc 2.0967 -1.6151 -0.6539
Tc 2.6511 -0.4062 3.8476
Os 2.7603 3.2261 0.8825
Tc 1.8485 3.3037 3.4506
Os 3.5679 -0.4887 1.2815
Tc 0.5641 1.2014 4.4985
Os 4.3226 3.8658 4.3119
Tc 1.4716 1.1241 1.9423
```

Calculated values
Density: 14.40 g cm⁻³
Relative energy among the computed polymorphs: 0.0274 eV per atom
DFT total energy: -44.319 eV per atom
DFT formation energy: -54 meV per atom
M_tot: 0.0 Bohr magnetons per cell

Record 6
# TcOs5

A crystal of TcOs5 relaxed with PBEsol (meta-GGA SCAN, Alexandria via LeMat-Bulk).

```
6
Lattice="-2.4210 0.7476 -1.0201 -1.0580 -2.6180 4.2496 0.9273 5.9529 2.1637" Properties=species:S:1:pos:R:3 pbc="T T T"
Tc -1.3431 4.9991 3.1929
Os -0.8936 2.4776 3.9402
Os 0.3131 3.3910 1.7396
Os -1.6586 1.6045 1.4593
Os -2.5484 4.0828 5.3894
Os -1.5077 -0.0953 3.5081
```

Calculated values
Density: 20.85 g cm⁻³
Relative energy among the computed polymorphs: 0.0077 eV per atom
DFT total energy: -65.804 eV per atom
DFT formation energy: -61 meV per atom
M_tot: 0.0 Bohr magnetons per cell

Record 7
# TcOs5

A crystal of TcOs5 relaxed with PBEsol (meta-GGA SCAN, Alexandria via LeMat-Bulk).

```
6
Lattice="4.3034 0.0000 0.0000 0.0000 4.7342 0.0000 0.0000 -2.3671 4.0999" Properties=species:S:1:pos:R:3 pbc="T T T"
Tc 2.1517 0.0000 0.0000
Os 2.1517 0.0000 2.7333
Os 0.0000 3.1571 0.0000
Os 2.1517 2.3671 1.3666
Os 0.0000 -1.5786 2.7341
Os 0.0000 0.7885 1.3658
```

Calculated values
Density: 20.86 g cm⁻³
Relative energy among the computed polymorphs: 0.0000 eV per atom
DFT total energy: -65.812 eV per atom
DFT formation energy: -69 meV per atom
M_tot: 0.0 Bohr magnetons per cell

Record 8
# TcOs5

A crystal of TcOs5 relaxed with PBEsol (meta-GGA SCAN, Alexandria via LeMat-Bulk).

```
6
Lattice="2.7322 0.0000 0.0000 0.0000 4.3071 0.0000 -1.3661 0.0000 7.1009" Properties=species:S:1:pos:R:3 pbc="T T T"
Os 1.3661 2.1536 0.7852
Os 0.0000 0.0000 4.7381
Os 1.3661 0.0000 7.0907
Os 1.3661 0.0000 2.3711
Tc 1.3661 2.1536 5.5276
Os 0.0000 2.1536 3.1573
```

Calculated values
Density: 20.85 g cm⁻³
Relative energy among the computed polymorphs: 0.0073 eV per atom
DFT total energy: -65.805 eV per atom
DFT formation energy: -61 meV per atom
M_tot: 0.0 Bohr magnetons per cell

Record 9
# Tc3Os

A crystal of Tc3Os relaxed with PBEsol (meta-GGA SCAN, Alexandria via LeMat-Bulk).

```
4
Lattice="-2.2990 -0.7628 1.2353 -0.9175 -2.9817 -3.5489 3.7654 -1.2644 3.2345" Properties=species:S:1:pos:R:3 pbc="T T T"
Os -0.0007 -0.0021 -0.0025
Tc -1.6093 -1.8758 -1.1610
Tc 0.0784 -1.4435 2.2470
Tc 0.7781 -2.5659 -0.1365
```

Calculated values
Density: 14.43 g cm⁻³
Relative energy among the computed polymorphs: 0.0000 eV per atom
DFT total energy: -44.346 eV per atom
DFT formation energy: -82 meV per atom
M_tot: 0.0 Bohr magnetons per cell

Record 10
# Tc3Os

A crystal of Tc3Os relaxed with PBEsol (meta-GGA SCAN, Alexandria via LeMat-Bulk).

```
4
Lattice="-1.4565 1.9341 1.2534 1.5615 -1.6920 1.4601 6.6522 5.4942 -0.7475" Properties=species:S:1:pos:R:3 pbc="T T T"
Tc 3.3261 2.7471 -0.3737
Tc 1.2084 2.0956 1.1359
Os 0.0000 0.0000 0.0000
Tc 4.5427 4.8494 0.7613
```

Calculated values
Density: 14.42 g cm⁻³
Relative energy among the computed polymorphs: 0.0287 eV per atom
DFT total energy: -44.318 eV per atom
DFT formation energy: -53 meV per atom
M_tot: 0.0 Bohr magnetons per cell

Record 11
# Tc3Os

A crystal of Tc3Os relaxed with PBEsol (meta-GGA SCAN, Alexandria via LeMat-Bulk).

```
16
Lattice="-2.3594 3.8675 1.3002 -4.7048 -2.7336 -0.4061 0.6698 -2.3889 8.3216" Properties=species:S:1:pos:R:3 pbc="T T T"
Tc -0.2857 -1.8022 6.3016
Tc -4.3785 0.0053 4.9072
Tc -6.1087 0.5472 2.9141
Tc -4.3798 -2.6147 4.1552
Tc -2.3461 2.5422 0.9413
Tc -3.7497 -0.7013 2.3658
Tc -2.6447 -0.5537 6.8499
Tc -4.0482 -3.7972 8.2744
Os -3.7587 1.9116 3.1166
Os -1.3940 0.6664 2.5688
Os -5.0004 -1.9214 6.6468
Tc -2.3474 -0.0778 0.1892
Os -2.6356 -3.1666 6.0990
Tc -2.0159 -1.2603 4.3085
Tc -2.0146 1.3597 5.0605
Tc -4.0469 -1.1772 9.0264
```

Calculated values
Density: 14.40 g cm⁻³
Relative energy among the computed polymorphs: 0.0393 eV per atom
DFT total energy: -44.307 eV per atom
DFT formation energy: -42 meV per atom
M_tot: 0.0 Bohr magnetons per cell

Record 12
# TcTeOs

A crystal of TcTeOs relaxed with PBEsol (meta-GGA SCAN, Alexandria via LeMat-Bulk).

```
3
Lattice="-1.7276 0.9585 -3.7639 -0.4399 -3.0133 -2.9660 -3.8686 -1.4542 -0.9951" Properties=species:S:1:pos:R:3 pbc="T T T"
Te -1.5090 -0.8772 -1.9313
Os 0.0000 0.0000 0.0000
Tc -3.0181 -1.7545 -3.8625
```

Calculated values
Density: 12.71 g cm⁻³
DFT total energy: -47.210 eV per atom
Formation energy from raw total energies: 853.3 meV per atom
M_tot: 0.0 Bohr magnetons per cell